Material: Pm5HoAg4
Method: DFT, PBE
State: optimized geometry

abc: 3.6946 3.6946 20.0790
angles: 90.00 90.00 90.00
Closest atoms and distances in Å follow each position.
Element x y z (fractional)
Ag (0.0000, 0.0000, 0.2156)  8 Pm 3.21-3.23
Ag (0.0000, 0.0000, 0.4057)  8 Pm 3.23-3.24
Ag (0.0000, 0.0000, 0.5943)  8 Pm 3.23-3.24
Ag (0.0000, 0.0000, 0.7844)  8 Pm 3.21-3.23
Pm (0.5000, 0.5000, 0.8775)  4 Ag 3.21, 4 Ho 3.59
Pm (0.5000, 0.5000, 0.6894)  8 Ag 3.23-3.24
Pm (0.5000, 0.5000, 0.5000)  8 Ag 3.23
Pm (0.5000, 0.5000, 0.1225)  4 Ag 3.21, 4 Ho 3.59
Pm (0.5000, 0.5000, 0.3106)  8 Ag 3.23-3.24
Ho (0.0000, 0.0000, 0.0000)  8 Pm 3.59, 4 Ho 3.69

Calculated values
DFT formation energy	-2.05	eV/f.u.
magnetization	0.000	μB/atom
E	-4.18	eV/atom